(1)
DFT (PBE) results for MnCoPSe after structural relaxation.

Properties
Space group: Amm2, No. 38

```
data_MnCoPSe
_cell_length_a 4.3596
_cell_length_b 3.4396
_cell_length_c 7.7917
_cell_angle_alpha 90.00
_cell_angle_beta 90.00
_cell_angle_gamma 90.00
_symmetry_space_group_name_H-M 'P 1'
_symmetry_Int_Tables_number 1
loop_
_symmetry_equiv_pos_as_xyz
'x,y,z'
loop_
_atom_site_label
_atom_site_type_symbol
_atom_site_fract_x
_atom_site_fract_y
_atom_site_fract_z
Mn1 Mn 0.5000 0.0000 0.5613
Mn2 Mn 0.5000 0.5000 0.0613
Co1 Co 0.0000 0.0000 0.1306
Co2 Co 0.0000 0.5000 0.6306
P1 P 0.5000 0.0000 0.2396
P2 P 0.5000 0.5000 0.7396
Se1 Se 0.0000 0.0000 0.4398
Se2 Se 0.0000 0.5000 0.9398
```

(2)
DFT (PBE) results for MnCoPSe after structural relaxation.

Properties
Space group: Cm, No. 8

```
data_MnCoPSe
_cell_length_a 4.9243
_cell_length_b 3.2135
_cell_length_c 7.4137
_cell_angle_alpha 90.00
_cell_angle_beta 100.74
_cell_angle_gamma 90.00
_symmetry_space_group_name_H-M 'P 1'
_symmetry_Int_Tables_number 1
loop_
_symmetry_equiv_pos_as_xyz
'x,y,z'
loop_
_atom_site_label
_atom_site_type_symbol
_atom_site_fract_x
_atom_site_fract_y
_atom_site_fract_z
Mn1 Mn 0.4996 0.0000 0.3876
Mn2 Mn 0.4996 0.5000 0.8876
Co1 Co 0.8883 0.0000 0.1722
Co2 Co 0.8883 0.5000 0.6722
P1 P 0.5926 0.0000 0.6871
P2 P 0.5926 0.5000 0.1871
Se1 Se 0.1270 0.0000 0.9145
Se2 Se 0.1270 0.5000 0.4145
```

(3)
DFT (PBE) results for MnCoPSe after structural relaxation.

Properties
Space group: Cm, No. 8

```
data_MnCoPSe
_cell_length_a 3.2058
_cell_length_b 3.2053
_cell_length_c 13.4056
_cell_angle_alpha 90.00
_cell_angle_beta 103.54
_cell_angle_gamma 90.00
_symmetry_space_group_name_H-M 'P 1'
_symmetry_Int_Tables_number 1
loop_
_symmetry_equiv_pos_as_xyz
'x,y,z'
loop_
_atom_site_label
_atom_site_type_symbol
_atom_site_fract_x
_atom_site_fract_y
_atom_site_fract_z
Mn1 Mn 0.4699 0.0000 0.2089
Mn2 Mn 0.4699 0.5000 0.7089
Co1 Co 0.0861 0.0000 0.8280
Co2 Co 0.0861 0.5000 0.3280
P1 P 0.6362 0.0000 0.3790
P2 P 0.6362 0.5000 0.8790
Se1 Se 0.9002 0.0000 0.6378
Se2 Se 0.9002 0.5000 0.1378
```

(4)
DFT (PBE) results for MnCoPSe after structural relaxation.

Properties
Space group: Imm2, No. 44

```
data_MnCoPSe
_cell_length_a 2.8126
_cell_length_b 2.9951
_cell_length_c 12.3477
_cell_angle_alpha 90.00
_cell_angle_beta 90.00
_cell_angle_gamma 90.00
_symmetry_space_group_name_H-M 'P 1'
_symmetry_Int_Tables_number 1
loop_
_symmetry_equiv_pos_as_xyz
'x,y,z'
loop_
_atom_site_label
_atom_site_type_symbol
_atom_site_fract_x
_atom_site_fract_y
_atom_site_fract_z
Mn1 Mn 0.0000 0.5000 0.7985
Mn2 Mn 0.5000 0.0000 0.2985
Co1 Co 0.0000 0.5000 0.5997
Co2 Co 0.5000 0.0000 0.0997
P1 P 0.0000 0.5000 0.2049
P2 P 0.5000 0.0000 0.7049
Se1 Se 0.0000 0.0000 0.4507
Se2 Se 0.5000 0.5000 0.9507
```

(5)
DFT (PBE) results for MnCoPSe after structural relaxation.

Properties
Space group: R3m, No. 160

```
data_MnCoPSe
_cell_length_a 2.9579
_cell_length_b 2.9579
_cell_length_c 21.4848
_cell_angle_alpha 90.00
_cell_angle_beta 90.00
_cell_angle_gamma 120.00
_symmetry_space_group_name_H-M 'P 1'
_symmetry_Int_Tables_number 1
loop_
_symmetry_equiv_pos_as_xyz
'x,y,z'
loop_
_atom_site_label
_atom_site_type_symbol
_atom_site_fract_x
_atom_site_fract_y
_atom_site_fract_z
Mn1 Mn 0.0000 0.0000 0.1949
Mn2 Mn 0.3333 0.6667 0.8616
Mn3 Mn 0.6667 0.3333 0.5282
Co1 Co 0.0000 0.0000 0.7148
Co2 Co 0.3333 0.6667 0.3814
Co3 Co 0.6667 0.3333 0.0481
P1 P 0.0000 0.0000 0.4508
P2 P 0.3333 0.6667 0.1175
P3 P 0.6667 0.3333 0.7842
Se1 Se 0.0000 0.0000 0.6037
Se2 Se 0.3333 0.6667 0.2703
Se3 Se 0.6667 0.3333 0.9370
```

(6)
DFT (PBE) results for MnCoPSe after structural relaxation.

Properties
Space group: Amm2, No. 38

```
data_MnCoPSe
_cell_length_a 2.8288
_cell_length_b 3.2437
_cell_length_c 11.9599
_cell_angle_alpha 90.00
_cell_angle_beta 90.00
_cell_angle_gamma 90.00
_symmetry_space_group_name_H-M 'P 1'
_symmetry_Int_Tables_number 1
loop_
_symmetry_equiv_pos_as_xyz
'x,y,z'
loop_
_atom_site_label
_atom_site_type_symbol
_atom_site_fract_x
_atom_site_fract_y
_atom_site_fract_z
Mn1 Mn 0.0000 0.0000 0.7356
Mn2 Mn 0.0000 0.5000 0.2356
Co1 Co 0.5000 0.0000 0.9330
Co2 Co 0.5000 0.5000 0.4330
P1 P 0.5000 0.0000 0.3101
P2 P 0.5000 0.5000 0.8101
Se1 Se 0.5000 0.0000 0.5750
Se2 Se 0.5000 0.5000 0.0750
```

(7)
DFT (PBE) results for MnCoPSe after structural relaxation.

Properties
Space group: Amm2, No. 38

```
data_MnCoPSe
_cell_length_a 3.0700
_cell_length_b 3.1877
_cell_length_c 11.6440
_cell_angle_alpha 90.00
_cell_angle_beta 90.00
_cell_angle_gamma 90.00
_symmetry_space_group_name_H-M 'P 1'
_symmetry_Int_Tables_number 1
loop_
_symmetry_equiv_pos_as_xyz
'x,y,z'
loop_
_atom_site_label
_atom_site_type_symbol
_atom_site_fract_x
_atom_site_fract_y
_atom_site_fract_z
Mn1 Mn 0.0000 0.0000 0.7073
Mn2 Mn 0.0000 0.5000 0.2073
Co1 Co 0.5000 0.0000 0.8945
Co2 Co 0.5000 0.5000 0.3945
P1 P 0.0000 0.0000 0.3525
P2 P 0.0000 0.5000 0.8525
Se1 Se 0.5000 0.0000 0.0994
Se2 Se 0.5000 0.5000 0.5994
```

(8)
DFT (PBE) results for MnCoPSe after structural relaxation.

Properties
Space group: R3m, No. 160

```
data_MnCoPSe
_cell_length_a 3.3505
_cell_length_b 3.3505
_cell_length_c 19.0421
_cell_angle_alpha 90.00
_cell_angle_beta 90.00
_cell_angle_gamma 120.00
_symmetry_space_group_name_H-M 'P 1'
_symmetry_Int_Tables_number 1
loop_
_symmetry_equiv_pos_as_xyz
'x,y,z'
loop_
_atom_site_label
_atom_site_type_symbol
_atom_site_fract_x
_atom_site_fract_y
_atom_site_fract_z
Mn1 Mn 0.0000 0.0000 0.8088
Mn2 Mn 0.3333 0.6667 0.4755
Mn3 Mn 0.6667 0.3333 0.1421
Co1 Co 0.0000 0.0000 0.9404
Co2 Co 0.3333 0.6667 0.6071
Co3 Co 0.6667 0.3333 0.2737
P1 P 0.0000 0.0000 0.5566
P2 P 0.3333 0.6667 0.2232
P3 P 0.6667 0.3333 0.8899
Se1 Se 0.0000 0.0000 0.0634
Se2 Se 0.3333 0.6667 0.7300
Se3 Se 0.6667 0.3333 0.3967
```

What size of the total moment values result from the calculations? In sequence: 0.132, 0.442, 0.613, 0.004, 0.137, 0.070, 0.565, 0.664 μB/atom.
What energy above the most stable polymorph in this dataset values result from the calculations? In sequence: 205, 210, 236, 207, 333, 193, 48, 23 meV/atom.